No. 1
The following is a GGA-PBE calculation of crystalline ReTe2Ir at its relaxed geometry, from Alexandria.

Cell: 3.344 5.599 5.565 Å, 46.97 90.00 90.00°
Atoms (fractional coordinates):
Ir1 0.500 0.500 0.500
Re1 0.000 0.000 0.500
Te1 0.000 0.000 0.000
Te2 0.500 0.500 0.000

Calculated values
Formation energy without anion corrections   660.9 meV per atom
Excess energy over the best structure of this formula in the dataset   440 meV per atom
Volume   19.05 A^3/atom
ρ   13811 kg/m³
Crystal system   monoclinic

---

No. 2
The following is a GGA-PBE calculation of crystalline Rb2CaRuI6 at its relaxed geometry, from Alexandria.

Cell: 8.255 8.255 8.254 Å, 60.00 60.00 90.00°
Atoms (fractional coordinates):
I1 0.234 0.234 0.531
I2 0.766 0.766 0.469
I3 0.234 0.234 0.000
I4 0.766 0.766 0.000
I5 0.766 0.234 0.000
I6 0.234 0.766 0.000
Ru1 0.000 0.000 0.000
Ca1 0.500 0.500 0.000
Rb1 0.750 0.250 0.500
Rb2 0.250 0.750 0.500

Calculated values
Formation energy without anion corrections   -937.2 meV per atom
Volume   39.77 A^3/atom
ρ   4482 kg/m³
Crystal system   cubic

---

No. 3
The following is a GGA-PBE calculation of crystalline NpH2Br8 at its relaxed geometry, from Alexandria.

Cell: 6.868 8.260 8.260 Å, 74.34 90.47 90.47°
Site moments in Bohr magnetons follow the coordinates.
Atoms (fractional coordinates):
Np1 0.000 0.000 0.000  1.67
H1 0.271 0.273 0.273  0.00
H2 0.729 0.727 0.727  0.00
Br1 0.784 0.099 0.727  -0.09
Br2 0.216 0.273 0.901  -0.09
Br3 0.770 0.158 0.158  -0.09
Br4 0.230 0.842 0.842  -0.09
Br5 0.784 0.727 0.099  -0.09
Br6 0.216 0.901 0.273  -0.09
Br7 0.308 0.380 0.380  -0.01
Br8 0.692 0.620 0.620  -0.01

Calculated values
Volume   41.02 A^3/atom
ρ   3232 kg/m³
Total DFT energy (no corrections)   -40.459 eV/cell
Crystal system   monoclinic

---

No. 4
The following is a GGA-PBE calculation of crystalline Ni5As2 at its relaxed geometry, from Alexandria.

Cell: 5.142 5.757 6.428 Å, 63.39 89.93 90.00°
Atoms (fractional coordinates):
Ni1 0.500 0.074 0.203
Ni2 0.000 0.277 0.797
Ni3 0.250 0.727 0.545
Ni4 0.250 0.273 0.455
Ni5 0.750 0.273 0.455
Ni6 0.750 0.727 0.545
Ni7 0.000 0.723 0.203
Ni8 0.500 0.926 0.797
Ni9 0.750 0.500 0.000
Ni10 0.250 0.500 0.000
As1 0.500 0.339 0.777
As2 0.000 0.116 0.223
As3 0.500 0.661 0.223
As4 0.000 0.884 0.777

Calculated values
Excess energy over the best structure of this formula in the dataset   59 meV per atom
ΔE_f   -123 kJ/mol of formula units
Volume   12.15 A^3/atom
ρ   8655 kg/m³
Crystal system   monoclinic